1.
A plane-wave DFT calculation with PBE was carried out for crystalline PrNd7Sm4 at its relaxed geometry. Values from VASP.

```
&SYSTEM
  ibrav = 0, nat = 12, ntyp = 3
/
ATOMIC_SPECIES
Pr 140.91 Pr.upf
Nd 144.24 Nd.upf
Sm 150.36 Sm.upf
CELL_PARAMETERS angstrom
6.397 0.000 0.000
0.002 7.393 0.000
2.137 0.007 8.871
ATOMIC_POSITIONS crystal
Pr 0.000 0.000 0.000
Nd 0.000 0.500 0.000
Nd 0.223 0.000 0.333
Nd 0.279 0.749 0.666
Nd 0.500 0.251 0.999
Nd 0.500 0.749 0.001
Nd 0.721 0.251 0.334
Nd 0.777 0.000 0.667
Sm 0.221 0.500 0.333
Sm 0.278 0.252 0.667
Sm 0.722 0.748 0.333
Sm 0.779 0.500 0.667
```

Properties
Crystal system ... triclinic
Total DFT energy (no corrections) ... -4.746 eV per atom
Energy of formation from the pure elements ... 6.6 meV per atom
Energy above the most stable polymorph in this dataset ... 0.000 eV/atom

---

2.
A plane-wave DFT calculation with PBE was carried out for crystalline YSn2Pt at its relaxed geometry. Values from VASP.

```
&SYSTEM
  ibrav = 0, nat = 4, ntyp = 3
/
ATOMIC_SPECIES
Y 88.91 Y.upf
Sn 118.71 Sn.upf
Pt 195.08 Pt.upf
CELL_PARAMETERS angstrom
4.484 0.000 0.000
0.000 4.484 0.000
0.000 0.000 4.428
ATOMIC_POSITIONS crystal
Y 0.000 0.000 0.000
Sn 0.000 0.500 0.500
Sn 0.500 0.000 0.500
Pt 0.500 0.500 0.000
```

Properties
Crystal system ... tetragonal
Total DFT energy (no corrections) ... -5.745 eV per atom
Energy of formation from the pure elements ... -617.3 meV per atom

---

3.
A plane-wave DFT calculation with PBE was carried out for crystalline Mg3SiAg at its relaxed geometry. Values from VASP.

```
&SYSTEM
  ibrav = 0, nat = 5, ntyp = 3
/
ATOMIC_SPECIES
Mg 24.30 Mg.upf
Si 28.09 Si.upf
Ag 107.87 Ag.upf
CELL_PARAMETERS angstrom
4.994 0.000 0.000
0.000 4.994 0.000
0.000 0.000 4.994
ATOMIC_POSITIONS crystal
Mg 0.000 0.000 0.500
Mg 0.000 0.500 0.000
Mg 0.500 0.000 0.000
Si 0.000 0.000 0.000
Ag 0.500 0.500 0.500
```

Properties
Crystal system ... cubic
Uncorrected formation energy ... 0.245 eV/atom
Total DFT energy (no corrections) ... -2.367 eV per atom
Energy above the most stable polymorph in this dataset ... 0.000 eV/atom

---

4.
A plane-wave DFT calculation with PBE was carried out for crystalline SiNiS at its relaxed geometry. Values from VASP.

```
&SYSTEM
  ibrav = 0, nat = 3, ntyp = 3
/
ATOMIC_SPECIES
Si 28.09 Si.upf
Ni 58.69 Ni.upf
S 32.06 S.upf
CELL_PARAMETERS angstrom
3.163 0.000 0.000
-1.581 2.739 0.000
0.000 0.000 4.654
ATOMIC_POSITIONS crystal
Si 0.000 0.000 0.000
Ni 0.333 0.667 0.316
S 0.667 0.333 0.669
```

Properties
Crystal system ... trigonal
Uncorrected formation energy ... -0.180 eV/atom
Total DFT energy (no corrections) ... -5.290 eV per atom

---

no.,volume (A^3/atom)
1,35.0
2,22.3
3,24.9
4,13.4